1.
DFT (SCAN) results for a PBEsol-optimized structure of Mo2RhCl.

Cell lengths 8.5829, 8.5829, 8.5829 Å; angles 18.87, 18.87, 18.87 degrees
Element x y z (fractional)
Mo: 0.2481 0.2481 0.2481
Mo: 0.7519 0.7519 0.7519
Rh: 0.0000 0.0000 0.0000
Cl: 0.5000 0.5000 0.5000

## Properties
N(E_F) in states/eV per atom: 1.013
SG: No. 166
Energy relative to the elements, uncorrected in kJ/mol of formula units: 90
Relative energy among the computed polymorphs in eV/f.u.: 0.16
DFT total energy in eV per atom: -27.65


2.
DFT (SCAN) results for a PBEsol-optimized structure of Sc2MoRhCl.

Cell lengths 4.6396, 4.6396, 4.2831 Å; angles 90.00, 90.00, 90.00 degrees
Element x y z (fractional)
Sc: 0.0000 0.5000 0.0000
Sc: 0.5000 0.0000 0.0000
Mo: 0.0000 0.0000 0.5000
Rh: 0.5000 0.5000 0.5000
Cl: 0.5000 0.5000 0.0000

## Properties
N(E_F) in states/eV per atom: 0.749
SG: No. 123
Energy relative to the elements, uncorrected in kJ/mol of formula units: 73
DFT total energy in eV per atom: -20.87


The lowest energy relative to the elements, uncorrected belongs to which entry?
Sc2MoRhCl


Look up the N(E_F) of the second one.
0.749 states/eV per atom


What is the formula in the first record?
Mo2RhCl